PBE-GGA SrTl2HgIr, optimized geometry; uncorrected energy = -3.24 eV/atom; N(E_F) = 1.8 states/eV/cell; volume = 163.52 Å³/cell
1.0
5.294 0.000 0.000
0.000 5.294 0.000
0.000 0.000 5.835
Tl Hg Sr Ir
2 1 1 1
Direct
0.500 0.000 0.000
0.000 0.500 0.000
0.500 0.500 0.500
0.000 0.000 0.500
0.000 0.000 0.000